No. 1
First-principles (GGA-PBE) data for an optimized crystal structure of CeZn6Si2, as listed in Alexandria via LeMat-Bulk.

Uncorrected formation energy: -200 meV per atom
DOS(E_F): 5.86 states/eV per cell
Uncorrected energy: -26.2 eV/cell

Cell lengths 4.0199, 4.0199, 9.2189 Å; angles 90.00, 90.00, 90.00 degrees
With the nearest neighbours (Å) after each atom.
Element x y z (fractional)
Si: 0.5000 0.5000 0.1286  1 Si 2.37, 4 Zn 2.55
Si: 0.5000 0.5000 0.8714  1 Si 2.37, 4 Zn 2.55
Zn: 0.0000 0.5000 0.7020  2 Si 2.55, 8 Zn 2.74-2.84
Zn: 0.5000 0.5000 0.5000  12 Zn 2.74-2.84
Zn: 0.5000 0.0000 0.2980  2 Si 2.55, 8 Zn 2.74-2.84
Zn: 0.0000 0.0000 0.5000  12 Zn 2.74-2.84
Zn: 0.0000 0.5000 0.2980  2 Si 2.55, 8 Zn 2.74-2.84
Zn: 0.5000 0.0000 0.7020  2 Si 2.55, 8 Zn 2.74-2.84
Ce: 0.0000 0.0000 0.0000  8 Si 3.08, 8 Zn 3.40

No. 2
First-principles (GGA-PBE) data for an optimized crystal structure of K2CoMo, as listed in Alexandria via LeMat-Bulk.

Offset from the most stable computed form: 921 meV per atom
DOS(E_F): 8.96 states/eV per cell
ΔE_f: 6.9 eV/f.u.
Uncorrected energy: -13.2 eV/cell

Cell lengths 5.4016, 5.4016, 5.4016 Å; angles 120.03, 120.03, 89.94 degrees
With the nearest neighbours (Å) after each atom.
Element x y z (fractional)
K: 0.0000 0.0000 0.0000  4 Co 3.31, 4 K 3.31
K: 0.2500 0.7500 0.5000  4 Mo 3.31, 4 K 3.31
Co: 0.7500 0.2500 0.5000  4 Mo 3.31, 4 K 3.31
Mo: 0.5000 0.5000 0.0000  4 K 3.31, 4 Co 3.31

No. 3
First-principles (GGA-PBE) data for an optimized crystal structure of SmDyIn2, as listed in Alexandria via LeMat-Bulk.

Offset from the most stable computed form: 0 meV per atom
DOS(E_F): 1.49 states/eV per cell
ΔE_f: -1.9 eV/f.u.
Uncorrected energy: -16.7 eV/cell

Cell lengths 5.3657, 5.3657, 5.3657 Å; angles 60.00, 60.00, 60.00 degrees
With the nearest neighbours (Å) after each atom.
Element x y z (fractional)
Dy: 0.0000 0.0000 0.0000  8 In 3.29
In: 0.2500 0.2500 0.2500  4 Dy 3.29, 4 Sm 3.29
In: 0.7500 0.7500 0.7500  4 Sm 3.29, 4 Dy 3.29
Sm: 0.5000 0.5000 0.5000  8 In 3.29

No. 4
First-principles (GGA-PBE) data for an optimized crystal structure of GdZrMnZn, as listed in Alexandria via LeMat-Bulk.

DOS(E_F): 4.29 states/eV per cell
ΔE_f: 0.0 eV/f.u.
Uncorrected energy: -33.1 eV/cell

Cell lengths 4.8502, 4.8502, 4.8502 Å; angles 60.00, 60.00, 60.00 degrees
With the nearest neighbours (Å) after each atom.
Element x y z (fractional)
Gd: 0.5000 0.5000 0.5000  4 Zn 2.97, 4 Mn 2.97
Mn: 0.7500 0.7500 0.7500  4 Gd 2.97, 4 Zr 2.97
Zr: 0.0000 0.0000 0.0000  4 Mn 2.97, 4 Zn 2.97
Zn: 0.2500 0.2500 0.2500  4 Zr 2.97, 4 Gd 2.97

No. 5
First-principles (GGA-PBE) data for an optimized crystal structure of LiSn4Bi, as listed in Alexandria via LeMat-Bulk.

DOS(E_F): 1.79 states/eV per cell
ΔE_f: 0.4 eV/f.u.
Uncorrected energy: -21.4 eV/cell

Cell lengths 6.2683, 6.2683, 6.2683 Å; angles 60.00, 60.00, 60.00 degrees
With the nearest neighbours (Å) after each atom.
Element x y z (fractional)
Sn: 0.1252 0.6249 0.6249  6 Sn 3.13-3.14
Sn: 0.6249 0.1252 0.6249  6 Sn 3.13-3.14
Sn: 0.6249 0.6249 0.6249  6 Sn 3.13-3.14
Sn: 0.6249 0.6249 0.1252  6 Sn 3.13-3.14
Li: 0.2500 0.2500 0.2500  12 Sn 3.67, 4 Bi 3.84
Bi: 0.0000 0.0000 0.0000  12 Sn 3.68, 4 Li 3.84

No. 6
First-principles (GGA-PBE) data for an optimized crystal structure of Pm3YPt3, as listed in Alexandria via LeMat-Bulk.

DOS(E_F): 10.57 states/eV per cell
ΔE_f: -6.6 eV/f.u.
Uncorrected energy: -90.8 eV/cell

Cell lengths 7.1068, 7.1068, 7.2476 Å; angles 90.78, 90.78, 97.64 degrees
With the nearest neighbours (Å) after each atom.
Element x y z (fractional)
Y: 0.7449 0.7449 0.8803  4 Pt 2.78-3.01
Y: 0.2551 0.2551 0.1197  4 Pt 2.78-3.01
Pt: 0.5059 0.9760 0.7167  1 Y 2.78, 4 Pm 2.88-3.09
Pt: 0.9390 0.9390 0.1913  2 Y 2.87-3.01, 5 Pm 2.93-3.06, 1 Pt 3.02
Pt: 0.4941 0.0240 0.2833  1 Y 2.78, 4 Pm 2.88-3.09
Pt: 0.9760 0.5059 0.7167  1 Y 2.78, 4 Pm 2.88-3.09
Pt: 0.0240 0.4941 0.2833  1 Y 2.78, 4 Pm 2.88-3.09
Pt: 0.0610 0.0610 0.8087  2 Y 2.87-3.01, 5 Pm 2.93-3.06, 1 Pt 3.02
Pm: 0.3366 0.3366 0.6238  3 Pt 2.93-3.05
Pm: 0.2490 0.7510 0.0000  6 Pt 3.06-3.15
Pm: 0.8240 0.1760 0.5000  6 Pt 2.88-2.98
Pm: 0.1760 0.8240 0.5000  6 Pt 2.88-2.98
Pm: 0.6634 0.6634 0.3762  3 Pt 2.93-3.05
Pm: 0.7510 0.2490 0.0000  6 Pt 3.06-3.15

No. 7
First-principles (GGA-PBE) data for an optimized crystal structure of NdNi2P, as listed in Alexandria via LeMat-Bulk.

DOS(E_F): 2.70 states/eV per cell
ΔE_f: -2.5 eV/f.u.
Uncorrected energy: -24.2 eV/cell

Cell lengths 3.7762, 4.0659, 4.7634 Å; angles 90.06, 90.00, 90.00 degrees
With the nearest neighbours (Å) after each atom.
Element x y z (fractional)
Nd: 0.5000 0.5000 0.0000  8 Ni 3.02, 4 P 3.13
Ni: 0.0000 0.0008 0.2508  2 P 2.23, 2 Ni 2.37-2.39
Ni: 0.0000 0.9992 0.7492  2 P 2.23, 2 Ni 2.37-2.39
P: 0.5000 0.0000 0.5000  4 Ni 2.23

No. 8
First-principles (GGA-PBE) data for an optimized crystal structure of KSrW2, as listed in Alexandria via LeMat-Bulk.

Offset from the most stable computed form: 718 meV per atom
DOS(E_F): 3.82 states/eV per cell
ΔE_f: 6.2 eV/f.u.
Uncorrected energy: -22.5 eV/cell

Cell lengths 6.4523, 6.4523, 6.4523 Å; angles 148.32, 140.79, 51.26 degrees
With the nearest neighbours (Å) after each atom.
Element x y z (fractional)
Sr: 0.2500 0.7500 0.5000  4 K 2.79
K: 0.7500 0.2500 0.5000  4 Sr 2.79
W: 0.4981 0.4981 0.0000  4 W 2.79
W: 0.0019 0.0019 0.0000  4 W 2.79

No. 9
First-principles (GGA-PBE) data for an optimized crystal structure of ReTcIr3, as listed in Alexandria via LeMat-Bulk.

Offset from the most stable computed form: 211 meV per atom
DOS(E_F): 15.72 states/eV per cell
ΔE_f: 0.5 eV/f.u.
Uncorrected energy: -195.8 eV/cell

Cell lengths 7.5361, 7.9230, 7.9230 Å; angles 65.64, 52.84, 52.84 degrees
With the nearest neighbours (Å) after each atom.
Element x y z (fractional)
Ir: 0.7050 0.3118 0.0231  6 Ir 2.61-2.91, 2 Tc 2.65-2.83, 2 Re 2.66-2.71
Ir: 0.4848 0.3259 0.5530  3 Re 2.60-2.77, 4 Ir 2.63-2.73, 3 Tc 2.64-2.87
Ir: 0.2950 0.6882 0.9769  6 Ir 2.61-2.91, 2 Tc 2.65-2.83, 2 Re 2.66-2.71
Ir: 0.7950 0.9769 0.6882  6 Ir 2.61-2.91, 2 Tc 2.65-2.83, 2 Re 2.66-2.71
Ir: 0.0152 0.4470 0.6741  3 Re 2.60-2.77, 4 Ir 2.63-2.73, 3 Tc 2.64-2.87
Ir: 0.2050 0.0231 0.3118  6 Ir 2.61-2.91, 2 Tc 2.65-2.83, 2 Re 2.66-2.71
Ir: 0.6271 0.7220 0.9863  5 Ir 2.61-2.91, 3 Re 2.69-2.74, 3 Tc 2.71-2.74
Ir: 0.3729 0.2780 0.0137  5 Ir 2.61-2.91, 3 Re 2.69-2.74, 3 Tc 2.71-2.74
Ir: 0.5152 0.6741 0.4470  3 Re 2.60-2.77, 4 Ir 2.63-2.73, 3 Tc 2.64-2.87
Ir: 0.1271 0.9863 0.7220  5 Ir 2.61-2.91, 3 Re 2.69-2.74, 3 Tc 2.71-2.74
Ir: 0.8729 0.0137 0.2780  5 Ir 2.61-2.91, 3 Re 2.69-2.74, 3 Tc 2.71-2.74
Ir: 0.9848 0.5530 0.3259  3 Re 2.60-2.77, 4 Ir 2.63-2.73, 3 Tc 2.64-2.87
Tc: 0.2500 0.6528 0.3472  8 Ir 2.64-2.71
Tc: 0.7500 0.9111 0.0889  2 Re 2.60, 8 Ir 2.71-2.87
Tc: 0.7500 0.3472 0.6528  8 Ir 2.64-2.71
Tc: 0.2500 0.0889 0.9111  2 Re 2.60, 8 Ir 2.71-2.87
Re: 0.1122 0.6236 0.8153  1 Tc 2.60, 8 Ir 2.60-2.77
Re: 0.6122 0.8153 0.6236  1 Tc 2.60, 8 Ir 2.60-2.77
Re: 0.3878 0.1847 0.3764  1 Tc 2.60, 8 Ir 2.60-2.77
Re: 0.8878 0.3764 0.1847  1 Tc 2.60, 8 Ir 2.60-2.77

No. 10
First-principles (GGA-PBE) data for an optimized crystal structure of SrPu2CrN4, as listed in Alexandria via LeMat-Bulk.

Uncorrected formation energy: -1013 meV per atom
DOS(E_F): 23.24 states/eV per cell
Uncorrected energy: -162.8 eV/cell

Cell lengths 3.4810, 6.2008, 11.7460 Å; angles 90.00, 90.00, 106.30 degrees
With the nearest neighbours (Å) after each atom.
Element x y z (fractional)
N: 0.2563 0.5126 0.1163  1 Cr 1.84
N: 0.2563 0.5126 0.3837  1 Cr 1.84
N: 0.0000 0.0000 0.0000  4 Pu 2.39
N: 0.5955 0.1911 0.2500  2 Cr 1.98
N: 0.4045 0.8089 0.7500  2 Cr 1.98
N: 0.0000 0.0000 0.5000  4 Pu 2.39
N: 0.7437 0.4874 0.6163  1 Cr 1.84
N: 0.7437 0.4874 0.8837  1 Cr 1.84
Pu: 0.6298 0.2595 0.0445  6 N 2.33-2.45
Pu: 0.3702 0.7405 0.9555  6 N 2.33-2.45
Pu: 0.3702 0.7405 0.5445  6 N 2.33-2.45
Pu: 0.6298 0.2595 0.4555  6 N 2.33-2.45
Sr: 0.9085 0.8171 0.2500  8 N 2.83-3.13
Sr: 0.0915 0.1829 0.7500  8 N 2.83-3.13
Cr: 0.1756 0.3511 0.2500  4 N 1.84-1.98
Cr: 0.8244 0.6489 0.7500  4 N 1.84-1.98

No. 11
First-principles (GGA-PBE) data for an optimized crystal structure of Eu2MgH, as listed in Alexandria via LeMat-Bulk.

Offset from the most stable computed form: 151 meV per atom
DOS(E_F): 3.59 states/eV per cell
Uncorrected energy: -25.5 eV/cell

Cell lengths 3.3973, 3.3973, 8.5008 Å; angles 90.00, 90.00, 90.00 degrees
With the nearest neighbours (Å) after each atom.
Element x y z (fractional)
Mg: 0.5000 0.5000 0.5000  4 Mg 3.40, 8 Eu 3.53
H: 0.5000 0.5000 0.0000  8 Eu 2.92
Eu: 0.0000 0.0000 0.8049  4 H 2.92
Eu: 0.0000 0.0000 0.1951  4 H 2.92

No. 12
First-principles (GGA-PBE) data for an optimized crystal structure of ScMnRu4, as listed in Alexandria via LeMat-Bulk.

DOS(E_F): 7.78 states/eV per cell
ΔE_f: 0.3 eV/f.u.
Uncorrected energy: -52.3 eV/cell

Cell lengths 5.1365, 5.1365, 5.1365 Å; angles 60.00, 60.00, 60.00 degrees
With the nearest neighbours (Å) after each atom.
Element x y z (fractional)
Sc: 0.7500 0.7500 0.7500  12 Ru 3.01, 4 Mn 3.15
Ru: 0.8762 0.3746 0.3746  6 Ru 2.56-2.58
Ru: 0.3746 0.3746 0.3746  6 Ru 2.56-2.58
Ru: 0.3746 0.8762 0.3746  6 Ru 2.56-2.58
Ru: 0.3746 0.3746 0.8762  6 Ru 2.56-2.58
Mn: 0.0000 0.0000 0.0000  12 Ru 3.01, 4 Sc 3.15

Q: Which value of DOS(E_F) does entry 1 give?
A: 5.86 states/eV per cell